A plane-wave DFT calculation with PBE-GGA was carried out for PuGeW after structural relaxation.

Structure (CIF):
```
data_PuGeW
_cell_length_a 6.274
_cell_length_b 6.274
_cell_length_c 6.274
_cell_angle_alpha 90.00
_cell_angle_beta 90.00
_cell_angle_gamma 90.00
_symmetry_space_group_name_H-M 'F -4 3 m'
_symmetry_Int_Tables_number 216
_symmetry_space_group_name_Hall 'F -4 2 3'
loop_
_atom_site_label
_atom_site_type_symbol
_atom_site_fract_x
_atom_site_fract_y
_atom_site_fract_z
_atom_site_occupancy
Pu1 Pu 0.000 0.000 0.000 1
Ge1 Ge 0.000 0.000 0.500 1
W1 W 0.250 0.250 0.750 1
```

## Properties
Polymorph energy (0 for the lowest one) (meV per atom): 0


A plane-wave DFT calculation with PBE-GGA was carried out for InHg3IrO4 after structural relaxation.

Structure (CIF):
```
data_InHg3IrO4
_cell_length_a 5.440
_cell_length_b 5.440
_cell_length_c 5.440
_cell_angle_alpha 90.00
_cell_angle_beta 90.00
_cell_angle_gamma 90.00
_symmetry_space_group_name_H-M 'P -4 3 m'
_symmetry_Int_Tables_number 215
_symmetry_space_group_name_Hall 'P -4 2 3'
loop_
_atom_site_label
_atom_site_type_symbol
_atom_site_fract_x
_atom_site_fract_y
_atom_site_fract_z
_atom_site_occupancy
In1 In 0.000 0.000 0.000 1
Hg1 Hg 0.000 0.500 0.500 1
Ir1 Ir 0.500 0.500 0.500 1
O1 O 0.223 0.223 0.223 1
```


Which raw total energy belongs to each record? In order, -10.160, -3.535 eV/atom.